The following is a DFT calculation (GGA-PBE) of crystalline RbGeOF2 at its relaxed geometry.

The value obtained for the final energy is -24.37 eV for the cell shown. As for the polymorph energy (0 for the lowest one): 0.0 meV/atom. The calculation puts the density at 4.59 g/cm3. The magnetic moment comes out at 0.00 μB/cell. Its raw formation energy is -2.017 eV per atom.

Unit cell a=4.4877 b=4.4877 c=3.8113 alpha=90.00 beta=90.00 gamma=90.00
Closest atoms and distances in Å follow each position.
Space group P4/mmm (No. 123)
One atom of each set of equivalent atoms:
Rb  0.0000  0.0000  0.0000 x1  8 F 2.94, 4 O 3.17
Ge  0.5000  0.5000  0.5000 x1  2 O 1.91
O  0.5000  0.5000  0.0000 x1  2 Ge 1.91
F  0.0000  0.5000  0.5000 x2  2 Ge 2.24